A plane-wave DFT calculation with PBE was carried out for an optimized crystal structure of CaAcTbMg.

a = 3.8049 Å, b = 3.8049 Å, c = 9.7343 Å
α = 90.00°, β = 90.00°, γ = 90.00°
With the nearest neighbours (Å) after each atom.
Fractional coordinates of all 4 atoms:
Ca1 0.0000 0.0000 0.1131  4 Mg 3.45, 4 Ca 3.80
Ac1 0.5000 0.5000 0.8009  4 Tb 3.73, 4 Ac 3.80, 4 Ca 4.06
Tb1 0.0000 0.0000 0.5357  4 Mg 3.33
Mg1 0.5000 0.5000 0.3350  4 Tb 3.33, 4 Ca 3.45

Values from the calculation:
Electronic total energy, hartree per atom: -0.114
Energy of formation from the pure elements, eV per formula unit: 0.0
Density of states at the Fermi level, states/eV per cell: 6.3
Relative energy among the computed polymorphs, meV per atom: 0